[1]
Below is RbZrHSe2 after structural relaxation, with properties calculated at the GGA-PBE level.

Properties
size of the total moment	0.0	μB per formula unit
ΔE to the lowest computed polymorph	0	kJ/mol of formula units

Cell lengths 7.6925, 3.9232, 9.3360 Å; angles 90.00, 108.70, 90.00 degrees
Space group P2_1/m (No. 11)
Asymmetric unit:
Rb1 0.1671 0.2500 0.2930 (multiplicity 2)
Zr1 0.3463 0.2500 0.8238 (multiplicity 2)
H1 0.0842 0.2500 0.7756 (multiplicity 2)
Se1 0.2898 0.7500 0.0150 (multiplicity 2)
Se2 0.3316 0.7500 0.6290 (multiplicity 2)

=====

[2]
Below is NdSm6Dy2Ho3 after structural relaxation, with properties calculated at the GGA-PBE level.

Properties
size of the total moment	0.0	μB per formula unit
formation energy	0.01	eV per atom

Cell lengths 6.2278, 10.7818, 11.8735 Å; angles 90.00, 100.03, 90.00 degrees
Space group C2/m (No. 12)
Asymmetric unit:
Nd1 0.0000 0.0000 0.0000 (multiplicity 2)
Sm1 0.2487 0.3330 0.7480 (multiplicity 8)
Sm2 0.2497 0.0000 0.7481 (multiplicity 4)
Dy1 0.0000 0.3334 0.0000 (multiplicity 4)
Ho1 0.0000 0.1669 0.5000 (multiplicity 4)
Ho2 0.0000 0.5000 0.5000 (multiplicity 2)

=====

[3]
Below is Bi2BOsAu after structural relaxation, with properties calculated at the GGA-PBE level.

Properties
size of the total moment	0.0	μB per formula unit
formation energy	0.69	eV per atom

Cell lengths 5.3720, 5.3720, 4.0454 Å; angles 90.00, 90.00, 90.00 degrees
Space group P4/mmm (No. 123)
Asymmetric unit:
Bi1 0.0000 0.5000 0.0000 (multiplicity 2)
B1 0.0000 0.0000 0.5000 (multiplicity 1)
Os1 0.0000 0.0000 0.0000 (multiplicity 1)
Au1 0.5000 0.5000 0.5000 (multiplicity 1)

=====

no.,total energy (eV/atom)
1,-5.018
2,-4.654
3,-5.098